(1)
Below is a crystal of Cr2OsW relaxed with PBEsol, with properties calculated at the meta-GGA SCAN level.

Values from the calculation:
Energy, eV/atom: -44.3218
D(E_F), states/eV per cell: 4.38

Geometry as POSCAR:
```
Cr2OsW
1.0
-3.251 0.267 -1.989
-0.555 -3.759 0.403
0.072 2.345 3.867
Cr Os W
2 1 1
Direct
0.750 0.250 0.500
0.250 0.750 0.500
0.500 0.500 0.000
0.000 0.000 0.000
```

=====

(2)
Below is a crystal of CrOsW2 relaxed with PBEsol, with properties calculated at the meta-GGA SCAN level.

Values from the calculation:
Energy, eV/atom: -57.2623
D(E_F), states/eV per cell: 3.67
Energy above the most stable polymorph in this dataset, meV/atom: 0.0

Geometry as POSCAR:
```
CrOsW2
1.0
-1.882 -0.841 -1.737
0.167 -3.915 1.713
-2.883 1.564 3.855
Cr Os W
1 1 2
Direct
0.532 0.000 0.491
0.253 0.500 0.751
0.975 0.000 0.993
0.740 0.500 0.265
```

=====

(3)
Below is a crystal of YCr2Os relaxed with PBEsol, with properties calculated at the meta-GGA SCAN level.

Values from the calculation:
Energy, eV/atom: -33.7851
D(E_F), states/eV per cell: 2.74
Energy above the most stable polymorph in this dataset, meV/atom: 172.4

Geometry as POSCAR:
```
YCr2Os
1.0
-1.909 -2.243 -0.287
0.785 -0.084 -4.560
3.840 -1.706 3.041
Cr Os Y
2 1 1
Direct
0.967 0.967 0.934
0.265 0.765 0.529
0.524 0.524 0.048
0.744 0.244 0.489
```

=====

(4)
Below is a crystal of YCr2Os relaxed with PBEsol, with properties calculated at the meta-GGA SCAN level.

Values from the calculation:
Energy, eV/atom: -33.3540
D(E_F), states/eV per cell: 4.46
Energy above the most stable polymorph in this dataset, meV/atom: 603.4

Geometry as POSCAR:
```
YCr2Os
1.0
-1.552 3.352 -0.685
-2.817 -1.679 -1.834
-2.273 -0.285 3.753
Cr Os Y
2 1 1
Direct
0.000 0.500 0.000
0.500 0.000 0.000
0.500 0.500 0.500
0.000 0.000 0.500
```

=====

(5)
Below is a crystal of Y3CrOs relaxed with PBEsol, with properties calculated at the meta-GGA SCAN level.

Values from the calculation:
Energy, eV/atom: -34.6564
D(E_F), states/eV per cell: 3.09

Geometry as POSCAR:
```
Y3CrOs
1.0
-4.980 -0.661 -1.657
1.770 -1.221 -4.833
0.222 -5.104 1.371
Y Cr Os
3 1 1
Direct
0.000 0.500 0.000
0.000 0.000 0.500
0.500 0.000 0.000
0.500 0.500 0.500
0.000 0.000 0.000
```

=====

(6)
Below is a crystal of YCr2Os relaxed with PBEsol, with properties calculated at the meta-GGA SCAN level.

Values from the calculation:
Energy, eV/atom: -33.8145
D(E_F), states/eV per cell: 3.78
Energy above the most stable polymorph in this dataset, meV/atom: 142.9

Geometry as POSCAR:
```
YCr2Os
1.0
3.017 0.000 0.000
-1.508 4.705 0.016
0.000 -1.425 4.725
Cr Os Y
2 1 1
Direct
0.778 0.556 0.864
0.222 0.444 0.136
0.500 0.000 0.000
0.000 0.000 0.500
```

=====

no.,energy relative to the elements (eV per atom),V (A^3/atom)
1,0.262,13.24
2,0.148,14.32
3,0.338,15.06
4,0.769,15.51
5,0.102,29.61
6,0.308,16.79